Below is YHoMg after structural relaxation, with properties calculated at the PBE-GGA level.

Properties
Space group: I4mm (107)
Energy relative to the elements in meV per atom: -44

a b c (Å): 6.8145 6.8145 6.8145
angles (deg): 148.43 148.43 45.26
Last column: nearest neighbours and their distance in Å.
Positions (direct):
Y  0.0000  0.0000  0.0000  4 Mg 3.29, 4 Ho 3.51
Ho  0.3139  0.3139  0.0000  4 Mg 3.27, 4 Y 3.51
Mg  0.6579  0.6579  0.0000  4 Ho 3.27, 4 Y 3.29